Record 1
# Hf2WAu (PBE-GGA, relaxed)
data_Hf2WAu
_symmetry_space_group_name_H-M 'P 4/m m m'
_symmetry_Int_Tables_number 123
_symmetry_space_group_name_Hall '-P 4 2'
_cell_length_a 4.6994
_cell_length_b 4.6994
_cell_length_c 3.4157
_cell_angle_alpha 90.00
_cell_angle_beta 90.00
_cell_angle_gamma 90.00
loop_
_atom_site_label
_atom_site_fract_x
_atom_site_fract_y
_atom_site_fract_z
Hf1 0.0000 0.5000 0.0000
W1 0.0000 0.0000 0.5000
Au1 0.5000 0.5000 0.5000
# calculated formation energy = -189 meV per atom
# magnetic moment = 0.00 μB/f.u.

---

Record 2
# Hf2WAu (PBE-GGA, relaxed)
data_Hf2WAu
_symmetry_space_group_name_H-M 'I -4 2 d'
_symmetry_Int_Tables_number 122
_symmetry_space_group_name_Hall 'I -4 2bw'
_cell_length_a 4.1612
_cell_length_b 4.1612
_cell_length_c 19.1523
_cell_angle_alpha 90.00
_cell_angle_beta 90.00
_cell_angle_gamma 90.00
loop_
_atom_site_label
_atom_site_fract_x
_atom_site_fract_y
_atom_site_fract_z
Hf1 0.2435 0.2500 0.1250
W1 0.0000 0.0000 0.0000
Au1 0.0000 0.0000 0.5000
# calculated formation energy = 646 meV per atom
# magnetic moment = 0.00 μB/f.u.

---

Record 3
# HfWAu3 (PBE-GGA, relaxed)
data_HfWAu3
_symmetry_space_group_name_H-M 'P m -3 m'
_symmetry_Int_Tables_number 221
_symmetry_space_group_name_Hall '-P 4 2 3'
_cell_length_a 4.9576
_cell_length_b 4.9576
_cell_length_c 4.9576
_cell_angle_alpha 90.00
_cell_angle_beta 90.00
_cell_angle_gamma 90.00
loop_
_atom_site_label
_atom_site_fract_x
_atom_site_fract_y
_atom_site_fract_z
Hf1 0.0000 0.0000 0.0000
W1 0.5000 0.5000 0.5000
Au1 0.0000 0.5000 0.5000
# calculated formation energy = 1256 meV per atom
# magnetic moment = 0.00 μB/f.u.
# E above lowest polymorph = 0 meV/atom

---

Record 4
# YHf2Au (PBE-GGA, relaxed)
data_YHf2Au
_symmetry_space_group_name_H-M 'I -4 2 d'
_symmetry_Int_Tables_number 122
_symmetry_space_group_name_Hall 'I -4 2bw'
_cell_length_a 8.1725
_cell_length_b 8.1725
_cell_length_c 5.9770
_cell_angle_alpha 90.00
_cell_angle_beta 90.00
_cell_angle_gamma 90.00
loop_
_atom_site_label
_atom_site_fract_x
_atom_site_fract_y
_atom_site_fract_z
Y1 0.0000 0.0000 0.0000
Hf1 0.1962 0.7500 0.6250
Au1 0.0000 0.0000 0.5000
# calculated formation energy = 83 meV per atom
# magnetic moment = 0.00 μB/f.u.
# E above lowest polymorph = 0 meV/atom

---

Record 5
# Y2HfAu2 (PBE-GGA, relaxed)
data_Y2HfAu2
_symmetry_space_group_name_H-M 'P 4/m b m'
_symmetry_Int_Tables_number 127
_symmetry_space_group_name_Hall '-P 4 2ab'
_cell_length_a 8.0111
_cell_length_b 8.0111
_cell_length_c 3.7126
_cell_angle_alpha 90.00
_cell_angle_beta 90.00
_cell_angle_gamma 90.00
loop_
_atom_site_label
_atom_site_fract_x
_atom_site_fract_y
_atom_site_fract_z
Y1 0.1668 0.3332 0.0000
Hf1 0.0000 0.0000 0.5000
Au1 0.1338 0.6338 0.5000
# calculated formation energy = -534 meV per atom
# magnetic moment = 0.00 μB/f.u.

---

Record 6
# Y2HfAu (PBE-GGA, relaxed)
data_Y2HfAu
_symmetry_space_group_name_H-M 'P 4/m m m'
_symmetry_Int_Tables_number 123
_symmetry_space_group_name_Hall '-P 4 2'
_cell_length_a 3.4413
_cell_length_b 3.4413
_cell_length_c 8.4804
_cell_angle_alpha 90.00
_cell_angle_beta 90.00
_cell_angle_gamma 90.00
loop_
_atom_site_label
_atom_site_fract_x
_atom_site_fract_y
_atom_site_fract_z
Y1 0.0000 0.0000 0.2302
Hf1 0.5000 0.5000 0.5000
Au1 0.5000 0.5000 0.0000
# calculated formation energy = -325 meV per atom
# magnetic moment = 0.00 μB/f.u.
# E above lowest polymorph = 0 meV/atom

---

Which value of calculated formation energy does entry 4 give? 83 meV per atom

---

Among the records above, which one has the highest calculated formation energy? HfWAu3

---

Repeat the sixth record exactly.
# Y2HfAu (PBE-GGA, relaxed)
data_Y2HfAu
_symmetry_space_group_name_H-M 'P 4/m m m'
_symmetry_Int_Tables_number 123
_symmetry_space_group_name_Hall '-P 4 2'
_cell_length_a 3.4413
_cell_length_b 3.4413
_cell_length_c 8.4804
_cell_angle_alpha 90.00
_cell_angle_beta 90.00
_cell_angle_gamma 90.00
loop_
_atom_site_label
_atom_site_fract_x
_atom_site_fract_y
_atom_site_fract_z
Y1 0.0000 0.0000 0.2302
Hf1 0.5000 0.5000 0.5000
Au1 0.5000 0.5000 0.0000
# calculated formation energy = -325 meV per atom
# magnetic moment = 0.00 μB/f.u.
# E above lowest polymorph = 0 meV/atom